4
Lattice="-3.253 2.864 -2.955 -1.210 -2.668 -1.254 -2.996 0.302 3.592" Properties=species:S:1:pos:R:3 comment="SiHg2Pt, optimized geometry, DFT PBE" rho_g_cm3=13.32 raw_formation_energy_ev_per_atom=0.259 dos_ef_per_ev_atom=0.28 e_tot_ev_per_cell=-11.03 pbc="T T T"
Pt -2.678 0.840 -0.893
Si -4.781 -0.343 0.276
Hg -2.102 -1.188 1.163
Hg -1.211 -2.663 -1.248